1.
A plane-wave DFT calculation with GGA-PBE was carried out for BaNa12Sn6 after structural relaxation.

Cell: 13.7249 13.7249 11.2009 Å, 90.00 90.00 120.00°
Last column: nearest neighbours and their distance in Å.
Space group R-3m (No. 166, hexagonal axes)
Inequivalent atoms, fractional coordinates:
1 Ba 0.0000 0.0000 0.0000 (multiplicity 3)  6 Na 3.94
2 Na 0.0000 0.3882 0.5000 (multiplicity 18)  3 Na 3.07-3.21, 2 Sn 3.17
3 Na 0.0921 0.1841 0.2921 (multiplicity 18)  4 Sn 3.12-3.42, 2 Na 3.21
4 Sn 0.0785 0.5393 0.2273 (multiplicity 18)  6 Na 3.12-3.42, 2 Sn 3.32

## Properties
Calculated formation energy in eV/f.u.: -1.44
Crystal system: trigonal
Total energy in eV/atom: -2.274

2.
A plane-wave DFT calculation with GGA-PBE was carried out for K7TeH2I2 after structural relaxation.

Cell: 7.5447 7.5442 16.6402 Å, 90.00 102.98 90.00°
Last column: nearest neighbours and their distance in Å.
Space group C2/m (No. 12)
Inequivalent atoms, fractional coordinates:
1 K 0.0000 0.0000 0.0000 (multiplicity 2)  2 H 2.72
2 K 0.1679 0.2499 0.8346 (multiplicity 8)  2 H 2.67
3 K 0.1989 0.0000 0.3981 (multiplicity 4)  1 H 3.73, 4 I 4.00-4.02
4 Te 0.0000 0.5000 0.0000 (multiplicity 2)  12 K 3.77-3.78
5 H 0.0833 0.0000 0.1679 (multiplicity 4)  5 K 2.67-2.72
6 I 0.1563 0.5000 0.3151 (multiplicity 4)  8 K 3.61-4.02

## Properties
Crystal system: monoclinic
Total energy in eV/atom: -2.484

3.
A plane-wave DFT calculation with GGA-PBE was carried out for YSc2Se after structural relaxation.

Cell: 3.7578 11.2052 8.8103 Å, 90.00 90.00 90.00°
Last column: nearest neighbours and their distance in Å.
Space group Cmcm (No. 63)
Inequivalent atoms, fractional coordinates:
1 Y 0.0000 0.0580 0.2500 (multiplicity 4)  3 Se 2.99-3.28, 4 Sc 3.34
2 Sc 0.0000 0.3590 0.0445 (multiplicity 8)  3 Se 2.81-2.94
3 Se 0.0000 0.2347 0.7500 (multiplicity 4)  6 Sc 2.81-2.94, 2 Y 2.99

## Properties
Crystal system: orthorhombic
Total energy in eV/atom: -6.462
Formation energy without anion corrections in meV/atom: -809

4.
A plane-wave DFT calculation with GGA-PBE was carried out for Sr2LaN2 after structural relaxation.

Cell: 3.8041 3.8041 30.1654 Å, 90.00 90.00 120.00°
Last column: nearest neighbours and their distance in Å.
Space group R-3m (No. 166, hexagonal axes)
Inequivalent atoms, fractional coordinates:
1 Sr 0.0000 0.0000 0.2371 (multiplicity 6)  3 N 2.60
2 La 0.0000 0.0000 0.0000 (multiplicity 3)  6 N 2.66
3 N 0.0000 0.0000 0.3832 (multiplicity 6)  3 Sr 2.60, 3 La 2.66

## Properties
Crystal system: trigonal
Total energy in eV/atom: -5.841
Formation energy without anion corrections in meV/atom: -853

5.
A plane-wave DFT calculation with GGA-PBE was carried out for SrReSe2 after structural relaxation.

Cell: 3.6389 3.6389 6.6280 Å, 90.00 90.00 90.00°
Last column: nearest neighbours and their distance in Å.
Space group P4mm (No. 99)
Inequivalent atoms, fractional coordinates:
1 Sr 0.0000 0.0000 0.0000 (multiplicity 1)  5 Se 2.99-3.20
2 Re 0.5000 0.5000 0.3732 (multiplicity 1)  5 Se 2.62-2.67
3 Se 0.0000 0.0000 0.4829 (multiplicity 1)  4 Re 2.67
4 Se 0.5000 0.5000 0.7689 (multiplicity 1)  1 Re 2.62

## Properties
Crystal system: tetragonal
Energy above the lowest structure with this stoichiometry in meV per atom: 498
Total energy in eV/atom: -5.301
Formation energy without anion corrections in meV/atom: -26

6.
A plane-wave DFT calculation with GGA-PBE was carried out for TlC3 after structural relaxation.

Cell: 5.7140 6.2357 3.5235 Å, 90.00 90.00 90.00°
Last column: nearest neighbours and their distance in Å.
Space group Cmmm (No. 65)
Inequivalent atoms, fractional coordinates:
1 Tl 0.0000 0.0000 0.0000 (multiplicity 2)  4 C 2.35
2 C 0.0000 0.5000 0.5000 (multiplicity 2)  2 C 1.31
3 C 0.2290 0.5000 0.5000 (multiplicity 4)  1 C 1.31

## Properties
Calculated formation energy in eV/f.u.: 6.14
Crystal system: orthorhombic
Energy above the lowest structure with this stoichiometry in meV per atom: 755
Total energy in eV/atom: -5.975

7.
A plane-wave DFT calculation with GGA-PBE was carried out for ReRhSe2 after structural relaxation.

Cell: 2.9699 4.2323 5.2797 Å, 90.00 90.00 90.00°
Last column: nearest neighbours and their distance in Å.
Space group Pmmm (No. 47)
Inequivalent atoms, fractional coordinates:
1 Re 0.0000 0.0000 0.0000 (multiplicity 1)  4 Se 2.59
2 Rh 0.5000 0.0000 0.5000 (multiplicity 1)  4 Se 2.59
3 Se 0.0000 0.5000 0.5000 (multiplicity 1)  4 Rh 2.59
4 Se 0.5000 0.5000 0.0000 (multiplicity 1)  4 Re 2.59

## Properties
Crystal system: orthorhombic
Energy above the lowest structure with this stoichiometry in meV per atom: 672
Total energy in eV/atom: -5.989
Formation energy without anion corrections in meV/atom: 703

8.
A plane-wave DFT calculation with GGA-PBE was carried out for SbWSe2 after structural relaxation.

Cell: 9.3735 3.2186 6.2684 Å, 90.00 105.52 90.00°
Last column: nearest neighbours and their distance in Å.
Space group Cm (No. 8)
Inequivalent atoms, fractional coordinates:
1 Sb 0.0000 0.0000 0.0000 (multiplicity 2)  1 Se 2.86, 2 W 2.92
2 W 0.1530 0.5000 0.3820 (multiplicity 2)  5 Se 2.53-2.74
3 Se 0.1845 0.0000 0.7037 (multiplicity 2)  2 W 2.53
4 Se 0.3542 0.0000 0.3414 (multiplicity 2)  3 W 2.54-2.74

## Properties
Crystal system: monoclinic
Total energy in eV/atom: -5.980
Formation energy without anion corrections in meV/atom: 31

9.
A plane-wave DFT calculation with GGA-PBE was carried out for NaSrNdTl after structural relaxation.

Cell: 8.0997 8.0997 8.0997 Å, 90.00 90.00 90.00°
Last column: nearest neighbours and their distance in Å.
Space group F-43m (No. 216)
Inequivalent atoms, fractional coordinates:
1 Na 0.0000 0.0000 0.0000 (multiplicity 4)  4 Nd 3.51, 4 Sr 3.51
2 Sr 0.2500 0.2500 0.7500 (multiplicity 4)  4 Tl 3.51, 4 Na 3.51
3 Nd 0.2500 0.2500 0.2500 (multiplicity 4)  4 Tl 3.51, 4 Na 3.51
4 Tl 0.0000 0.0000 0.5000 (multiplicity 4)  4 Nd 3.51, 4 Sr 3.51

## Properties
Calculated formation energy in eV/f.u.: -0.47
Crystal system: cubic
Total energy in eV/atom: -2.650

10.
A plane-wave DFT calculation with GGA-PBE was carried out for AcTlCdCu after structural relaxation.

Cell: 7.4895 7.4895 7.4895 Å, 90.00 90.00 90.00°
Last column: nearest neighbours and their distance in Å.
Space group F-43m (No. 216)
Inequivalent atoms, fractional coordinates:
1 Ac 0.0000 0.0000 0.0000 (multiplicity 4)  4 Cu 3.24, 4 Tl 3.24
2 Tl 0.2500 0.2500 0.2500 (multiplicity 4)  4 Ac 3.24, 4 Cd 3.24
3 Cd 0.0000 0.0000 0.5000 (multiplicity 4)  4 Tl 3.24, 4 Cu 3.24
4 Cu 0.2500 0.2500 0.7500 (multiplicity 4)  4 Cd 3.24, 4 Ac 3.24

## Properties
Calculated formation energy in eV/f.u.: -0.45
Crystal system: cubic
Total energy in eV/atom: -2.984

11.
A plane-wave DFT calculation with GGA-PBE was carried out for Sm2ErGa2Cu2 after structural relaxation.

Cell: 4.3787 4.3787 27.9680 Å, 90.00 90.00 120.00°
Last column: nearest neighbours and their distance in Å.
Space group R-3m (No. 166, hexagonal axes)
Inequivalent atoms, fractional coordinates:
1 Sm 0.0000 0.0000 0.1225 (multiplicity 6)  3 Ga 3.00, 3 Cu 3.11
2 Er 0.0000 0.0000 0.0000 (multiplicity 3)  6 Cu 3.00, 6 Ga 3.11
3 Ga 0.0000 0.0000 0.2687 (multiplicity 6)  3 Cu 2.53
4 Cu 0.0000 0.0000 0.3913 (multiplicity 6)  3 Ga 2.53

## Properties
Calculated formation energy in eV/f.u.: -2.75
Crystal system: trigonal
Total energy in eV/atom: -4.428

12.
A plane-wave DFT calculation with GGA-PBE was carried out for Tb2CeHoSb4 after structural relaxation.

Cell: 7.6456 4.4166 7.6508 Å, 90.00 109.39 90.00°
Last column: nearest neighbours and their distance in Å.
Space group P2/m (No. 10)
Inequivalent atoms, fractional coordinates:
1 Tb 0.0000 0.0000 0.0000 (multiplicity 1)  6 Sb 3.13
2 Tb 0.5000 0.5000 0.0000 (multiplicity 1)  6 Sb 3.11
3 Ce 0.0000 0.5000 0.5000 (multiplicity 1)  6 Sb 3.13-3.14
4 Ho 0.5000 0.0000 0.5000 (multiplicity 1)  6 Sb 3.11
5 Sb 0.2527 0.5000 0.2505 (multiplicity 2)  3 Tb 3.11-3.13, 2 Ho 3.11, 1 Ce 3.13
6 Sb 0.2538 0.0000 0.7523 (multiplicity 2)  3 Tb 3.11-3.13, 1 Ho 3.11, 2 Ce 3.14

## Properties
Crystal system: monoclinic
Total energy in eV/atom: -5.645
Formation energy without anion corrections in meV/atom: -1112

13.
A plane-wave DFT calculation with GGA-PBE was carried out for YHo3Er3 after structural relaxation.

Cell: 9.5196 9.5196 5.5994 Å, 90.00 90.00 120.00°
Last column: nearest neighbours and their distance in Å.
Space group P6_3/m (No. 176)
Inequivalent atoms, fractional coordinates:
1 Y 0.3333 0.6667 0.2500 (multiplicity 2)  9 Ho 3.49-3.60, 3 Er 3.61
2 Ho 0.0947 0.4753 0.7500 (multiplicity 6)  5 Er 3.49-3.60, 4 Ho 3.49-3.61, 3 Y 3.49-3.60
3 Er 0.0458 0.2366 0.2500 (multiplicity 6)  6 Er 3.48-3.58, 5 Ho 3.49-3.60, 1 Y 3.61

## Properties
Calculated formation energy in eV/f.u.: 0.03
Crystal system: hexagonal
Energy above the lowest structure with this stoichiometry in meV per atom: 0
Total energy in eV/atom: -4.836

14.
A plane-wave DFT calculation with GGA-PBE was carried out for NpNbV after structural relaxation.

Cell: 3.3057 3.3057 9.6078 Å, 90.00 90.00 90.00°
Last column: nearest neighbours and their distance in Å.
Space group I4mm (No. 107)
Inequivalent atoms, fractional coordinates:
1 Np 0.0000 0.0000 0.0000 (multiplicity 2)  4 V 2.74, 4 Nb 2.89
2 Nb 0.0000 0.0000 0.3223 (multiplicity 2)  5 V 2.87-3.13, 5 Np 2.89-3.10
3 V 0.0000 0.0000 0.6484 (multiplicity 2)  4 Np 2.74, 4 Nb 2.87

## Properties
Calculated formation energy in eV/f.u.: 1.15
Crystal system: tetragonal
Energy above the lowest structure with this stoichiometry in meV per atom: 0
Total energy in eV/atom: -10.327

15.
A plane-wave DFT calculation with GGA-PBE was carried out for Tb2LuSn after structural relaxation.

Cell: 7.6111 7.6111 7.6111 Å, 90.00 90.00 90.00°
Last column: nearest neighbours and their distance in Å.
Space group Fm-3m (No. 225)
Inequivalent atoms, fractional coordinates:
1 Tb 0.2500 0.2500 0.2500 (multiplicity 8)  4 Sn 3.30, 4 Lu 3.30
2 Lu 0.0000 0.0000 0.0000 (multiplicity 4)  8 Tb 3.30
3 Sn 0.0000 0.0000 0.5000 (multiplicity 4)  8 Tb 3.30

## Properties
Calculated formation energy in eV/f.u.: -0.96
Crystal system: cubic
Energy above the lowest structure with this stoichiometry in meV per atom: 167
Total energy in eV/atom: -4.686

16.
A plane-wave DFT calculation with GGA-PBE was carried out for Li2Ac2PuO6 after structural relaxation.

Cell: 5.8983 5.8983 16.6718 Å, 90.00 90.00 120.00°
Last column: nearest neighbours and their distance in Å.
Space group R-3m (No. 166, hexagonal axes)
Inequivalent atoms, fractional coordinates:
1 Li 0.0000 0.0000 0.0713 (multiplicity 6)  3 O 1.82
2 Ac 0.0000 0.0000 0.2912 (multiplicity 6)  3 O 2.50
3 Pu 0.0000 0.0000 0.5000 (multiplicity 3)  6 O 2.22
4 O 0.0224 0.5112 0.2596 (multiplicity 18)  1 Li 1.82

## Properties
Crystal system: trigonal
Total energy in eV/atom: -7.767
Formation energy without anion corrections in meV/atom: -2664

17.
A plane-wave DFT calculation with GGA-PBE was carried out for Na3UPt2S6 after structural relaxation.

Cell: 6.3380 10.9968 7.1383 Å, 90.00 107.20 90.00°
Last column: nearest neighbours and their distance in Å.
Space group C2/m (No. 12)
Inequivalent atoms, fractional coordinates:
1 Na 0.0000 0.0000 0.0000 (multiplicity 2)  6 S 2.82-2.91
2 Na 0.0000 0.3350 0.0000 (multiplicity 4)  6 S 2.83-2.91
3 U 0.0000 0.5000 0.5000 (multiplicity 2)  6 S 2.63-2.64
4 Pt 0.0000 0.1667 0.5000 (multiplicity 4)  6 S 2.53-2.54
5 S 0.2257 0.0000 0.7142 (multiplicity 4)  2 Pt 2.54, 1 U 2.63, 1 Na 2.82
6 S 0.2452 0.3271 0.7140 (multiplicity 8)  2 Pt 2.53-2.54, 1 U 2.64, 1 Na 2.83

## Properties
Crystal system: monoclinic
Total energy in eV/atom: -5.174
Formation energy without anion corrections in meV/atom: -833

18.
A plane-wave DFT calculation with GGA-PBE was carried out for YAlTe2N after structural relaxation.

Cell: 5.6616 5.6616 3.5703 Å, 90.00 90.00 90.00°
Last column: nearest neighbours and their distance in Å.
Space group P4/mmm (No. 123)
Inequivalent atoms, fractional coordinates:
1 Y 0.0000 0.0000 0.0000 (multiplicity 1)  8 Te 3.35, 2 Y 3.57
2 Al 0.5000 0.5000 0.5000 (multiplicity 1)  2 N 1.79
3 Te 0.0000 0.5000 0.5000 (multiplicity 2)  2 Al 2.83
4 N 0.5000 0.5000 0.0000 (multiplicity 1)  2 Al 1.79

## Properties
Crystal system: tetragonal
Energy above the lowest structure with this stoichiometry in meV per atom: 0
Total energy in eV/atom: -5.286
Formation energy without anion corrections in meV/atom: -323

19.
A plane-wave DFT calculation with GGA-PBE was carried out for SrNdEu2 after structural relaxation.

Cell: 3.9102 3.9102 38.6821 Å, 90.00 90.00 120.00°
Last column: nearest neighbours and their distance in Å.
Space group R-3m (No. 166, hexagonal axes)
Inequivalent atoms, fractional coordinates:
1 Sr 0.0000 0.0000 0.0000 (multiplicity 3)  6 Sr 3.91, 6 Eu 4.09
2 Nd 0.0000 0.0000 0.5000 (multiplicity 3)  6 Eu 3.79, 6 Nd 3.91
3 Eu 0.0000 0.0000 0.2453 (multiplicity 6)  3 Nd 3.79, 6 Eu 3.91, 3 Sr 4.09

## Properties
Calculated formation energy in eV/f.u.: 0.26
Crystal system: trigonal
Energy above the lowest structure with this stoichiometry in meV per atom: 2
Total energy in eV/atom: -6.685

20.
A plane-wave DFT calculation with GGA-PBE was carried out for Ho4Tm2Sc5 after structural relaxation.

Cell: 22.6206 3.3443 8.3163 Å, 90.00 93.18 90.00°
Last column: nearest neighbours and their distance in Å.
Space group C2/m (No. 12)
Inequivalent atoms, fractional coordinates:
1 Ho 0.0448 0.0000 0.3380 (multiplicity 4)  4 Sc 3.23-3.38, 7 Ho 3.34-3.51
2 Ho 0.0882 0.5000 0.6969 (multiplicity 4)  1 Tm 3.27, 5 Sc 3.30-3.42, 6 Ho 3.34-3.51
3 Tm 0.2273 0.5000 0.8243 (multiplicity 4)  6 Sc 3.24-3.41, 1 Ho 3.27, 4 Tm 3.34-3.47
4 Sc 0.0000 0.5000 0.0000 (multiplicity 2)  6 Ho 3.30-3.38, 6 Sc 3.34-3.37
5 Sc 0.1294 0.0000 0.0378 (multiplicity 4)  3 Ho 3.23-3.38, 4 Sc 3.34-3.37, 3 Tm 3.36-3.38
6 Sc 0.1880 0.0000 0.4777 (multiplicity 4)  3 Tm 3.24-3.41, 4 Sc 3.27-3.34, 3 Ho 3.38-3.42

## Properties
Calculated formation energy in eV/f.u.: 1.54
Crystal system: monoclinic
Energy above the lowest structure with this stoichiometry in meV per atom: 89
Total energy in eV/atom: -5.216

21.
A plane-wave DFT calculation with GGA-PBE was carried out for ZnCrP2Au after structural relaxation.

Cell: 4.7462 4.7462 5.1848 Å, 90.00 90.00 90.00°
Last column: nearest neighbours and their distance in Å.
Space group P4/mmm (No. 123)
Inequivalent atoms, fractional coordinates:
1 Zn 0.0000 0.0000 0.0000 (multiplicity 1)  4 Cr 3.36, 8 P 3.51
2 Cr 0.5000 0.5000 0.0000 (multiplicity 1)  2 Au 2.59
3 P 0.0000 0.5000 0.5000 (multiplicity 2)  2 Au 2.37
4 Au 0.5000 0.5000 0.5000 (multiplicity 1)  4 P 2.37, 2 Cr 2.59

## Properties
Calculated formation energy in eV/f.u.: 5.32
Crystal system: tetragonal
Total energy in eV/atom: -3.934